Here is crystalline MgSbIr2 at its relaxed geometry from Alexandria. Energies are from PBE-GGA.

Properties
ΔE_f (raw) (eV per atom): 0.078
Spin magnetization (μB/f.u.): 0.00

a = 2.9825 Å, b = 4.4854 Å, c = 5.1559 Å
α = 90.00°, β = 90.44°, γ = 90.00°
Fractional positions:
Mg  0.0000  0.0000  0.0000
Sb  0.5000  0.0000  0.5000
Ir  0.2793  0.5000  0.7608
Ir  0.7207  0.5000  0.2392

---

Here is crystalline ScTlHg2Ru at its relaxed geometry from Alexandria. Energies are from PBE-GGA.

Properties
Formation energy from the elements (eV/atom): 0.1415
E above lowest polymorph (meV/atom): 0
Spin magnetization (μB/f.u.): 0.00

a = 5.3632 Å, b = 5.3632 Å, c = 4.7266 Å
α = 90.00°, β = 90.00°, γ = 90.00°
Fractional positions:
Sc  0.0000  0.0000  0.0000
Tl  0.5000  0.5000  0.0000
Hg  0.0000  0.5000  0.5000
Hg  0.5000  0.0000  0.5000
Ru  0.0000  0.0000  0.5000

---

Here is crystalline Ce2HfMn at its relaxed geometry from Alexandria. Energies are from PBE-GGA.

Properties
Formation energy from the elements (eV/atom): 0.4828
Spin magnetization (μB/f.u.): 0.25

a = 10.4625 Å, b = 10.4625 Å, c = 10.4625 Å
α = 16.94°, β = 16.94°, γ = 16.94°
Fractional positions:
Ce  0.0977  0.0977  0.0977
Ce  0.9023  0.9023  0.9023
Hf  0.0000  0.0000  0.0000
Mn  0.5000  0.5000  0.5000

---

Here is crystalline CaNiAu at its relaxed geometry from Alexandria. Energies are from PBE-GGA.

Properties
Formation energy from the elements (eV/atom): -0.2115
Spin magnetization (μB/f.u.): 0.00

a = 5.4389 Å, b = 5.4389 Å, c = 5.4389 Å
α = 143.65°, β = 141.35°, γ = 54.10°
Fractional positions:
Ca  0.0000  0.0000  0.0000
Ni  0.6997  0.6997  0.0000
Au  0.3027  0.3027  0.0000

---

Here is crystalline Pr4IrS3 at its relaxed geometry from Alexandria. Energies are from PBE-GGA.

Properties
ΔE_f (raw) (eV per atom): -1.629
Spin magnetization (μB/f.u.): 0.00

a = 7.2478 Å, b = 7.2478 Å, c = 4.1009 Å
α = 90.00°, β = 90.00°, γ = 109.07°
Fractional positions:
Pr  0.2409  0.2409  0.5000
Pr  0.2476  0.7524  0.0000
Pr  0.7524  0.2476  0.0000
Pr  0.7591  0.7591  0.5000
Ir  0.0000  0.0000  0.0000
S  0.0000  0.5000  0.5000
S  0.5000  0.0000  0.5000
S  0.5000  0.5000  0.0000

---

Here is crystalline AcPrSnIr at its relaxed geometry from Alexandria. Energies are from PBE-GGA.

Properties
Formation energy from the elements (eV/atom): -0.3965
Spin magnetization (μB/f.u.): 0.00

a = 5.4234 Å, b = 5.4234 Å, c = 5.4234 Å
α = 60.00°, β = 60.00°, γ = 60.00°
Fractional positions:
Ac  0.0000  0.0000  0.0000
Pr  0.5000  0.5000  0.5000
Sn  0.7500  0.7500  0.7500
Ir  0.2500  0.2500  0.2500

---

Here is crystalline AlAg2Pt at its relaxed geometry from Alexandria. Energies are from PBE-GGA.

Properties
Formation energy from the elements (eV/atom): -0.2725
E above lowest polymorph (meV/atom): 81
Spin magnetization (μB/f.u.): 0.00

a = 4.5190 Å, b = 4.5190 Å, c = 4.5190 Å
α = 60.00°, β = 60.00°, γ = 60.00°
Fractional positions:
Al  0.0000  0.0000  0.0000
Ag  0.2500  0.2500  0.2500
Ag  0.5000  0.5000  0.5000
Pt  0.7500  0.7500  0.7500

---

Here is crystalline Al2FeBr at its relaxed geometry from Alexandria. Energies are from PBE-GGA.

Properties
E above lowest polymorph (meV/atom): 433
ΔE_f (raw) (eV per atom): 0.355
Spin magnetization (μB/f.u.): 2.59

a = 5.4652 Å, b = 5.4652 Å, c = 5.4652 Å
α = 146.62°, β = 127.01°, γ = 64.08°
Fractional positions:
Al  0.2239  0.2239  0.0000
Al  0.7761  0.7761  0.0000
Fe  0.0000  0.5000  0.5000
Br  0.5000  0.0000  0.5000